Below is an optimized crystal structure of Nb2AlIn, with properties calculated at the PBE level.

The structure in POSCAR format:
```
Nb2AlIn
1.0
3.010 0.000 0.000
1.505 2.607 0.000
1.505 0.869 9.628
Nb Al In
2 1 1
direct
0.253 0.253 0.240
0.747 0.747 0.760
0.000 0.000 0.000
0.500 0.500 0.500
```

Properties
Its space-group type is R-3m (166). The value obtained for the raw total energy is -26.43 eV per cell. The volume is 76 Å³/f.u. The crystal system is trigonal. The calculation puts the size of the total moment at 0.00 μB/f.u. The calculation puts the calculated formation energy at 0.05 eV/atom.



Below is an optimized crystal structure of NbAl2In, with properties calculated at the PBE level.

The structure in POSCAR format:
```
NbAl2In
1.0
-5.037 -5.124 -2.114
-0.422 -2.494 7.050
-4.834 -1.958 2.997
Nb Al In
2 4 2
direct
0.500 0.500 0.000
0.250 0.750 0.500
0.623 0.125 0.250
0.127 0.625 0.250
0.375 0.377 0.750
0.875 0.873 0.750
0.000 0.000 0.000
0.750 0.250 0.500
```

Properties
Its space-group type is I-42d (122). The value obtained for the raw total energy is -37.53 eV per cell. The volume is 80 Å³/f.u. The crystal system is tetragonal. The calculation puts the size of the total moment at 0.00 μB/f.u. The calculation puts the calculated formation energy at 0.38 eV/atom.



Below is an optimized crystal structure of Nb2AlIn, with properties calculated at the PBE level.

The structure in POSCAR format:
```
Nb2AlIn
1.0
-0.717 1.719 3.975
-2.741 -2.927 0.771
2.952 -2.356 1.552
Nb Al In
2 1 1
direct
0.000 0.000 0.500
0.000 0.500 0.000
0.500 0.000 0.000
0.500 0.500 0.500
```

Properties
Its space-group type is P4/mmm (123). The value obtained for the raw total energy is -26.97 eV per cell. The volume is 73 Å³/f.u. The crystal system is tetragonal. The calculation puts the size of the total moment at 0.00 μB/f.u. The calculation puts the calculated formation energy at -0.09 eV/atom.



Below is an optimized crystal structure of Nb2AlIn, with properties calculated at the PBE level.

The structure in POSCAR format:
```
Nb2AlIn
1.0
7.449 0.000 0.000
0.000 7.449 0.000
3.724 3.724 2.849
Nb Al In
4 2 2
direct
0.613 0.125 0.250
0.137 0.625 0.250
0.375 0.387 0.750
0.875 0.863 0.750
0.500 0.500 0.000
0.250 0.750 0.500
0.000 0.000 0.000
0.750 0.250 0.500
```

Properties
Its space-group type is I-42d (122). The value obtained for the raw total energy is -50.67 eV per cell. The volume is 79 Å³/f.u. The crystal system is tetragonal. The calculation puts the size of the total moment at 0.00 μB/f.u. The calculation puts the calculated formation energy at 0.32 eV/atom.



Below is an optimized crystal structure of Rb2NbAlIn, with properties calculated at the PBE level.

The structure in POSCAR format:
```
Rb2NbAlIn
1.0
6.695 0.000 0.000
0.000 5.221 0.000
0.000 0.000 6.695
Nb Al Rb In
1 1 2 1
direct
0.000 0.000 0.000
0.000 0.500 0.000
0.000 0.000 0.500
0.500 0.000 0.000
0.500 0.500 0.500
```

Properties
Its space-group type is P4/mmm (123). The value obtained for the raw total energy is -12.94 eV per cell. The volume is 234 Å³/f.u. The crystal system is tetragonal. The calculation puts the size of the total moment at 3.03 μB/f.u. The calculation puts the calculated formation energy at 1.11 eV/atom.



Below is an optimized crystal structure of Zr2NbAlIn, with properties calculated at the PBE level.

The structure in POSCAR format:
```
Zr2NbAlIn
1.0
-1.180 -4.260 -2.483
3.633 -2.673 2.859
-3.524 -1.057 3.489
Nb Al Zr In
1 1 2 1
direct
0.000 0.000 0.000
0.500 0.500 0.500
0.000 0.000 0.500
0.500 0.000 0.000
0.000 0.500 0.000
```

Properties
Its space-group type is P4/mmm (123). The value obtained for the raw total energy is -29.42 eV per cell. The volume is 137 Å³/f.u. The crystal system is tetragonal. The calculation puts the size of the total moment at 0.00 μB/f.u. The calculation puts the calculated formation energy at 0.84 eV/atom.



Below is an optimized crystal structure of ZrNb2AlIn, with properties calculated at the PBE level.

The structure in POSCAR format:
```
ZrNb2AlIn
1.0
-3.916 -1.787 2.101
1.860 -4.430 -0.301
2.045 0.567 4.294
Nb Al Zr In
2 1 1 1
direct
0.000 0.000 0.500
0.500 0.000 0.000
0.000 0.000 0.000
0.500 0.500 0.500
0.000 0.500 0.000
```

Properties
Its space-group type is P4/mmm (123). The value obtained for the raw total energy is -31.26 eV per cell. The volume is 110 Å³/f.u. The crystal system is tetragonal. The calculation puts the size of the total moment at 0.00 μB/f.u. The calculation puts the calculated formation energy at 0.78 eV/atom.



Below is an optimized crystal structure of NdAl2In, with properties calculated at the PBE level.

The structure in POSCAR format:
```
NdAl2In
1.0
-1.481 -4.013 1.046
-0.853 -0.824 -4.369
4.177 -1.672 -0.500
Nd Al In
1 2 1
direct
0.500 0.500 0.500
0.000 0.000 0.500
0.000 0.500 0.000
0.500 0.000 0.000
```

Properties
Its space-group type is P4/mmm (123). The value obtained for the raw total energy is -16.47 eV per cell. The volume is 90 Å³/f.u. The distance to the lowest polymorph of the same formula is 0 meV per atom. The crystal system is tetragonal. The calculation puts the size of the total moment at 0.00 μB/f.u. The calculation puts the calculated formation energy at -0.37 eV/atom.



- Which of these has the lowest raw total energy?
  number 4



- What is the size of the total moment in the sixth record?
  0.00 μB/f.u.



- The highest volume belongs to which entry?
  Rb2NbAlIn



What did the second record say?
Below is an optimized crystal structure of NbAl2In, with properties calculated at the PBE level.

The structure in POSCAR format:
```
NbAl2In
1.0
-5.037 -5.124 -2.114
-0.422 -2.494 7.050
-4.834 -1.958 2.997
Nb Al In
2 4 2
direct
0.500 0.500 0.000
0.250 0.750 0.500
0.623 0.125 0.250
0.127 0.625 0.250
0.375 0.377 0.750
0.875 0.873 0.750
0.000 0.000 0.000
0.750 0.250 0.500
```

Properties
Its space-group type is I-42d (122). The value obtained for the raw total energy is -37.53 eV per cell. The volume is 80 Å³/f.u. The crystal system is tetragonal. The calculation puts the size of the total moment at 0.00 μB/f.u. The calculation puts the calculated formation energy at 0.38 eV/atom.